Entry 1:
VASP calculation (SCAN) on Ir2RuRh at its PBEsol-relaxed geometry.

Structure (CIF):
```
data_Ir2RuRh
_chemical_formula_sum 'Ir4 Ru2 Rh2'
_cell_length_a 8.918
_cell_length_b 2.683
_cell_length_c 4.653
_cell_angle_alpha 90.00
_cell_angle_beta 99.92
_cell_angle_gamma 90.00
_space_group_name_H-M_alt 'P 1'
_space_group_IT_number 1
_space_group_name_Hall 'P 1'
loop_
_atom_site_label
_atom_site_type_symbol
_atom_site_fract_x
_atom_site_fract_y
_atom_site_fract_z
_atom_site_occupancy
Ir1 Ir 0.248 0.000 0.247 1
Ir2 Ir 0.252 0.500 0.753 1
Ir3 Ir 0.748 0.500 0.247 1
Ir4 Ir 0.752 0.000 0.753 1
Ru1 Ru 0.000 0.500 0.000 1
Ru2 Ru 0.500 0.000 0.000 1
Rh1 Rh 0.000 0.000 0.500 1
Rh2 Rh 0.500 0.500 0.500 1
```

Computed properties:
VASP energy: -3.8760 Ry per atom
Size of the total moment: 0.0 Bohr magnetons per cell
Volume: 54.8 Å³/f.u.

---

Entry 2:
VASP calculation (SCAN) on IrRuRh3 at its PBEsol-relaxed geometry.

Structure (CIF):
```
data_IrRuRh3
_chemical_formula_sum 'Ir1 Ru1 Rh3'
_cell_length_a 4.594
_cell_length_b 4.594
_cell_length_c 4.594
_cell_angle_alpha 90.00
_cell_angle_beta 90.00
_cell_angle_gamma 90.00
_space_group_name_H-M_alt 'P 1'
_space_group_IT_number 1
_space_group_name_Hall 'P 1'
loop_
_atom_site_label
_atom_site_type_symbol
_atom_site_fract_x
_atom_site_fract_y
_atom_site_fract_z
_atom_site_occupancy
Ir1 Ir 0.000 0.000 0.000 1
Ru1 Ru 0.500 0.500 0.500 1
Rh1 Rh 0.000 0.000 0.500 1
Rh2 Rh 0.000 0.500 0.000 1
Rh3 Rh 0.500 0.000 0.000 1
```

Computed properties:
VASP energy: -2.9136 Ry per atom
Size of the total moment: 3.1 Bohr magnetons per cell
Volume: 97.0 Å³/f.u.

---

Entry 3:
VASP calculation (SCAN) on Ir2RuRh at its PBEsol-relaxed geometry.

Structure (CIF):
```
data_Ir2RuRh
_chemical_formula_sum 'Ir4 Ru2 Rh2'
_cell_length_a 3.794
_cell_length_b 3.794
_cell_length_c 7.611
_cell_angle_alpha 90.00
_cell_angle_beta 90.00
_cell_angle_gamma 90.00
_space_group_name_H-M_alt 'P 1'
_space_group_IT_number 1
_space_group_name_Hall 'P 1'
loop_
_atom_site_label
_atom_site_type_symbol
_atom_site_fract_x
_atom_site_fract_y
_atom_site_fract_z
_atom_site_occupancy
Ir1 Ir 0.000 0.000 0.000 1
Ir2 Ir 0.000 0.500 0.250 1
Ir3 Ir 0.500 0.000 0.750 1
Ir4 Ir 0.500 0.500 0.500 1
Ru1 Ru 0.000 0.000 0.500 1
Ru2 Ru 0.500 0.500 0.000 1
Rh1 Rh 0.000 0.500 0.750 1
Rh2 Rh 0.500 0.000 0.250 1
```

Computed properties:
VASP energy: -3.8758 Ry per atom
Size of the total moment: 0.0 Bohr magnetons per cell
Volume: 54.8 Å³/f.u.

---

Entry 4:
VASP calculation (SCAN) on Ir2RuRh at its PBEsol-relaxed geometry.

Structure (CIF):
```
data_Ir2RuRh
_chemical_formula_sum 'Ir8 Ru4 Rh4'
_cell_length_a 6.103
_cell_length_b 6.103
_cell_length_c 6.103
_cell_angle_alpha 90.00
_cell_angle_beta 90.00
_cell_angle_gamma 90.00
_space_group_name_H-M_alt 'P 1'
_space_group_IT_number 1
_space_group_name_Hall 'P 1'
loop_
_atom_site_label
_atom_site_type_symbol
_atom_site_fract_x
_atom_site_fract_y
_atom_site_fract_z
_atom_site_occupancy
Ir1 Ir 0.250 0.250 0.250 1
Ir2 Ir 0.250 0.250 0.750 1
Ir3 Ir 0.250 0.750 0.250 1
Ir4 Ir 0.250 0.750 0.750 1
Ir5 Ir 0.750 0.250 0.250 1
Ir6 Ir 0.750 0.250 0.750 1
Ir7 Ir 0.750 0.750 0.250 1
Ir8 Ir 0.750 0.750 0.750 1
Ru1 Ru 0.000 0.000 0.000 1
Ru2 Ru 0.000 0.500 0.500 1
Ru3 Ru 0.500 0.000 0.500 1
Ru4 Ru 0.500 0.500 0.000 1
Rh1 Rh 0.000 0.000 0.500 1
Rh2 Rh 0.000 0.500 0.000 1
Rh3 Rh 0.500 0.000 0.000 1
Rh4 Rh 0.500 0.500 0.500 1
```

Computed properties:
VASP energy: -3.8367 Ry per atom
Size of the total moment: 11.1 Bohr magnetons per cell
Volume: 56.8 Å³/f.u.

---

Entry 5:
VASP calculation (SCAN) on Ir2RuRh at its PBEsol-relaxed geometry.

Structure (CIF):
```
data_Ir2RuRh
_chemical_formula_sum 'Ir2 Ru1 Rh1'
_cell_length_a 3.263
_cell_length_b 3.263
_cell_length_c 5.314
_cell_angle_alpha 90.00
_cell_angle_beta 90.00
_cell_angle_gamma 90.00
_space_group_name_H-M_alt 'P 1'
_space_group_IT_number 1
_space_group_name_Hall 'P 1'
loop_
_atom_site_label
_atom_site_type_symbol
_atom_site_fract_x
_atom_site_fract_y
_atom_site_fract_z
_atom_site_occupancy
Ir1 Ir 0.000 0.000 0.249 1
Ir2 Ir 0.000 0.000 0.751 1
Ru1 Ru 0.500 0.500 0.000 1
Rh1 Rh 0.500 0.500 0.500 1
```

Computed properties:
VASP energy: -3.8503 Ry per atom
Size of the total moment: 1.4 Bohr magnetons per cell
Volume: 56.6 Å³/f.u.

---

Entry 6:
VASP calculation (SCAN) on Ir2RuRh at its PBEsol-relaxed geometry.

Structure (CIF):
```
data_Ir2RuRh
_chemical_formula_sum 'Ir6 Ru3 Rh3'
_cell_length_a 2.686
_cell_length_b 2.686
_cell_length_c 26.353
_cell_angle_alpha 90.00
_cell_angle_beta 90.00
_cell_angle_gamma 120.00
_space_group_name_H-M_alt 'P 1'
_space_group_IT_number 1
_space_group_name_Hall 'P 1'
loop_
_atom_site_label
_atom_site_type_symbol
_atom_site_fract_x
_atom_site_fract_y
_atom_site_fract_z
_atom_site_occupancy
Ir1 Ir 0.000 0.000 0.000 1
Ir2 Ir 0.000 0.000 0.248 1
Ir3 Ir 0.333 0.667 0.667 1
Ir4 Ir 0.333 0.667 0.915 1
Ir5 Ir 0.667 0.333 0.333 1
Ir6 Ir 0.667 0.333 0.582 1
Ru1 Ru 0.000 0.000 0.749 1
Ru2 Ru 0.333 0.667 0.415 1
Ru3 Ru 0.667 0.333 0.082 1
Rh1 Rh 0.000 0.000 0.497 1
Rh2 Rh 0.333 0.667 0.164 1
Rh3 Rh 0.667 0.333 0.831 1
```

Computed properties:
VASP energy: -3.8738 Ry per atom
Size of the total moment: 0.0 Bohr magnetons per cell
Volume: 54.9 Å³/f.u.

---

Entry 7:
VASP calculation (SCAN) on Ir2RuRh at its PBEsol-relaxed geometry.

Structure (CIF):
```
data_Ir2RuRh
_chemical_formula_sum 'Ir2 Ru1 Rh1'
_cell_length_a 2.686
_cell_length_b 2.686
_cell_length_c 7.621
_cell_angle_alpha 90.00
_cell_angle_beta 90.00
_cell_angle_gamma 90.00
_space_group_name_H-M_alt 'P 1'
_space_group_IT_number 1
_space_group_name_Hall 'P 1'
loop_
_atom_site_label
_atom_site_type_symbol
_atom_site_fract_x
_atom_site_fract_y
_atom_site_fract_z
_atom_site_occupancy
Ir1 Ir 0.000 0.000 0.000 1
Ir2 Ir 0.500 0.500 0.254 1
Ru1 Ru 0.500 0.500 0.754 1
Rh1 Rh 0.000 0.000 0.507 1
```

Computed properties:
VASP energy: -3.8741 Ry per atom
Size of the total moment: 0.0 Bohr magnetons per cell
Volume: 55.0 Å³/f.u.

---

Entry 8:
VASP calculation (SCAN) on Ir2RuRh at its PBEsol-relaxed geometry.

Structure (CIF):
```
data_Ir2RuRh
_chemical_formula_sum 'Ir4 Ru2 Rh2'
_cell_length_a 8.923
_cell_length_b 2.683
_cell_length_c 4.649
_cell_angle_alpha 90.00
_cell_angle_beta 99.91
_cell_angle_gamma 90.00
_space_group_name_H-M_alt 'P 1'
_space_group_IT_number 1
_space_group_name_Hall 'P 1'
loop_
_atom_site_label
_atom_site_type_symbol
_atom_site_fract_x
_atom_site_fract_y
_atom_site_fract_z
_atom_site_occupancy
Ir1 Ir 0.000 0.000 0.000 1
Ir2 Ir 0.250 0.000 0.748 1
Ir3 Ir 0.500 0.500 0.000 1
Ir4 Ir 0.750 0.500 0.748 1
Ru1 Ru 0.002 0.500 0.502 1
Ru2 Ru 0.502 0.000 0.502 1
Rh1 Rh 0.252 0.500 0.252 1
Rh2 Rh 0.752 0.000 0.252 1
```

Computed properties:
VASP energy: -3.8758 Ry per atom
Size of the total moment: 0.0 Bohr magnetons per cell
Volume: 54.8 Å³/f.u.

---

> What is the formula in the eighth record?

Ir2RuRh